## Er2NpC (PBE)

Data for a geometry-optimized Er2NpC structure.

Output
* space group: R-3m, No. 166

a b c (Å): 3.4212 3.4212 28.8959
angles (deg): 90.00 90.00 120.00
Element x y z (fractional)
Er1 0.0000 0.0000 0.1197
Er2 0.0000 0.0000 0.8803
Er3 0.3333 0.6667 0.5470
Er4 0.3333 0.6667 0.7863
Er5 0.6667 0.3333 0.2137
Er6 0.6667 0.3333 0.4530
Np1 0.0000 0.0000 0.0000
Np2 0.3333 0.6667 0.6667
Np3 0.6667 0.3333 0.3333
C1 0.0000 0.0000 0.5000
C2 0.3333 0.6667 0.1667
C3 0.6667 0.3333 0.8333



## ErNpC (PBE)

Data for a geometry-optimized ErNpC structure.

Output
* energy relative to the lowest polymorph listed for this composition: 427 meV/atom
* space group: I4mm, No. 107

a b c (Å): 3.3870 3.3870 12.2640
angles (deg): 90.00 90.00 90.00
Element x y z (fractional)
Er1 0.0000 0.0000 0.0000
Er2 0.5000 0.5000 0.5000
Np1 0.0000 0.0000 0.7076
Np2 0.5000 0.5000 0.2076
C1 0.0000 0.0000 0.5362
C2 0.5000 0.5000 0.0362



## ErNpC (PBE)

Data for a geometry-optimized ErNpC structure.

Output
* energy relative to the lowest polymorph listed for this composition: 0 meV/atom
* space group: P3m1, No. 156

a b c (Å): 3.3903 3.3903 6.2089
angles (deg): 90.00 90.00 120.00
Element x y z (fractional)
Er1 0.0000 0.0000 0.0000
Np1 0.3333 0.6667 0.4581
C1 0.6667 0.3333 0.2360



## ErNpC (PBE)

Data for a geometry-optimized ErNpC structure.

Output
* energy relative to the lowest polymorph listed for this composition: 91 meV/atom
* space group: Pnma, No. 62

a b c (Å): 12.1855 3.4832 5.8709
angles (deg): 90.00 90.00 90.00
Element x y z (fractional)
Er1 0.1854 0.2500 0.1369
Er2 0.3146 0.7500 0.6369
Er3 0.6854 0.2500 0.3631
Er4 0.8146 0.7500 0.8631
Np1 0.0457 0.2500 0.6048
Np2 0.4543 0.7500 0.1048
Np3 0.5457 0.2500 0.8952
Np4 0.9543 0.7500 0.3952
C1 0.1503 0.7500 0.4265
C2 0.3497 0.2500 0.9265
C3 0.6503 0.7500 0.0735
C4 0.8497 0.2500 0.5735



## ErNpPa2C4 (PBE)

Data for a geometry-optimized ErNpPa2C4 structure.

Output
* space group: P2/m, No. 10

a b c (Å): 6.1421 3.5918 6.2055
angles (deg): 90.00 109.49 90.00
Element x y z (fractional)
Er1 0.0000 0.0000 0.0000
Np1 0.0000 0.5000 0.5000
Pa1 0.5000 0.0000 0.5000
Pa2 0.5000 0.5000 0.0000
C1 0.2563 0.5000 0.2654
C2 0.2575 0.0000 0.7500
C3 0.7425 0.0000 0.2500
C4 0.7437 0.5000 0.7346



## Er2NpPaC4 (PBE)

Data for a geometry-optimized Er2NpPaC4 structure.

Output
* space group: P2/m, No. 10

a b c (Å): 6.0814 3.5858 6.1989
angles (deg): 90.00 109.59 90.00
Element x y z (fractional)
Er1 0.0000 0.0000 0.0000
Er2 0.0000 0.5000 0.5000
Np1 0.5000 0.0000 0.5000
Pa1 0.5000 0.5000 0.0000
C1 0.2759 0.5000 0.2646
C2 0.2769 0.0000 0.7461
C3 0.7231 0.0000 0.2539
C4 0.7241 0.5000 0.7354



## Er2NpTc2C4 (PBE)

Data for a geometry-optimized Er2NpTc2C4 structure.

Output
* space group: C2/m, No. 12

a b c (Å): 6.6615 6.6615 6.0630
angles (deg): 107.87 107.87 29.42
Element x y z (fractional)
Er1 0.1348 0.1348 0.0367
Er2 0.8652 0.8652 0.9633
Np1 0.0000 0.0000 0.5000
Tc1 0.3255 0.3255 0.5032
Tc2 0.6745 0.6745 0.4968
C1 0.2290 0.2290 0.7338
C2 0.4776 0.4776 0.7618
C3 0.5224 0.5224 0.2382
C4 0.7710 0.7710 0.2662



## ErCO4 (PBE)

Data for a geometry-optimized ErCO4 structure.

Output
* energy relative to the lowest polymorph listed for this composition: 23 meV/atom
* space group: P2_1/m, No. 11
* uncorrected formation energy: -2.04 eV per atom

a b c (Å): 4.4629 6.6842 6.3139
angles (deg): 90.00 96.03 90.00
Element x y z (fractional)
Er1 0.0354 0.2500 0.1624
Er2 0.9646 0.7500 0.8376
C1 0.0556 0.2500 0.7058
C2 0.9444 0.7500 0.2942
O1 0.0281 0.0866 0.8167
O2 0.0281 0.4134 0.8167
O3 0.1084 0.2500 0.5143
O4 0.4646 0.7500 0.8624
O5 0.5354 0.2500 0.1376
O6 0.8916 0.7500 0.4857
O7 0.9719 0.5866 0.1833
O8 0.9719 0.9134 0.1833



## Er6C2O (PBE)

Data for a geometry-optimized Er6C2O structure.

Output
* space group: R-3, No. 148
* uncorrected formation energy: -0.79 eV per atom

a b c (Å): 6.8795 6.8795 6.8795
angles (deg): 52.58 52.58 52.58
Element x y z (fractional)
Er1 0.0915 0.7212 0.4279
Er2 0.2788 0.5721 0.9085
Er3 0.4279 0.0915 0.7212
Er4 0.5721 0.9085 0.2788
Er5 0.7212 0.4279 0.0914
Er6 0.9086 0.2788 0.5721
C1 0.3276 0.3276 0.3276
C2 0.6724 0.6724 0.6724
O1 0.5000 0.5000 0.5000



## Er2CO (PBE)

Data for a geometry-optimized Er2CO structure.

Output
* energy relative to the lowest polymorph listed for this composition: 172 meV/atom
* space group: R3m, No. 160
* uncorrected formation energy: -1.61 eV per atom

a b c (Å): 3.4373 3.4373 17.7959
angles (deg): 90.00 90.00 120.00
Element x y z (fractional)
Er1 0.0000 0.0000 0.0000
Er2 0.0000 0.0000 0.1790
Er3 0.3333 0.6667 0.6667
Er4 0.3333 0.6667 0.8456
Er5 0.6667 0.3333 0.3333
Er6 0.6667 0.3333 0.5123
C1 0.0000 0.0000 0.5870
C2 0.3333 0.6667 0.2537
C3 0.6667 0.3333 0.9204
O1 0.0000 0.0000 0.4136
O2 0.3333 0.6667 0.0803
O3 0.6667 0.3333 0.7470



## ErCO (PBE)

Data for a geometry-optimized ErCO structure.

Output
* space group: Cmcm, No. 63
* uncorrected formation energy: -0.99 eV per atom

a b c (Å): 3.0215 18.0464 3.0287
angles (deg): 90.00 90.00 90.00
Element x y z (fractional)
Er1 0.0000 0.1309 0.2500
Er2 0.0000 0.8691 0.7500
Er3 0.5000 0.3691 0.7500
Er4 0.5000 0.6309 0.2500
C1 0.0000 0.2500 0.7500
C2 0.0000 0.7500 0.2500
C3 0.5000 0.2500 0.2500
C4 0.5000 0.7500 0.7500
O1 0.0000 0.4045 0.2500
O2 0.0000 0.5955 0.7500
O3 0.5000 0.0955 0.7500
O4 0.5000 0.9045 0.2500



## Er4CO4 (PBE)

Data for a geometry-optimized Er4CO4 structure.

Output
* space group: I-42m, No. 121
* uncorrected formation energy: -2.26 eV per atom

a b c (Å): 6.3720 6.3720 6.3720
angles (deg): 128.12 128.12 76.43
Element x y z (fractional)
Er1 0.1026 0.6632 0.0000
Er2 0.3368 0.3368 0.4393
Er3 0.6632 0.1026 0.0000
Er4 0.8974 0.8974 0.5607
C1 0.0000 0.0000 0.0000
O1 0.0000 0.5000 0.5000
O2 0.2831 0.2831 0.0000
O3 0.5000 0.0000 0.5000
O4 0.7169 0.7169 0.0000



## Er8C4O (PBE)

Data for a geometry-optimized Er8C4O structure.

Output
* space group: F-43m, No. 216
* uncorrected formation energy: -0.71 eV per atom

a b c (Å): 7.1766 7.1766 7.1766
angles (deg): 60.00 60.00 60.00
Element x y z (fractional)
Er1 0.3847 0.3847 0.3847
Er2 0.3847 0.3847 0.8458
Er3 0.3847 0.8458 0.3847
Er4 0.3922 0.8693 0.8693
Er5 0.8458 0.3847 0.3847
Er6 0.8693 0.3922 0.8693
Er7 0.8693 0.8693 0.3922
Er8 0.8693 0.8693 0.8693
C1 0.1284 0.6239 0.6239
C2 0.6239 0.1284 0.6239
C3 0.6239 0.6239 0.1284
C4 0.6239 0.6239 0.6239
O1 0.0000 0.0000 0.0000



## ErC2O6 (PBE)

Data for a geometry-optimized ErC2O6 structure.

Output
* space group: C2/c, No. 15
* uncorrected formation energy: -1.85 eV per atom

a b c (Å): 6.2818 6.2818 6.4528
angles (deg): 116.86 116.86 72.71
Element x y z (fractional)
Er1 0.1867 0.8133 0.7500
Er2 0.8133 0.1867 0.2500
C1 0.2263 0.3351 0.8680
C2 0.3351 0.2263 0.3680
C3 0.6649 0.7737 0.6320
C4 0.7737 0.6649 0.1320
O1 0.0694 0.1939 0.6842
O2 0.1905 0.5620 0.9288
O3 0.1939 0.0694 0.1842
O4 0.2364 0.4211 0.4957
O5 0.4211 0.2364 0.9957
O6 0.4380 0.8095 0.5712
O7 0.5620 0.1905 0.4288
O8 0.5789 0.7636 0.0043
O9 0.7636 0.5789 0.5043
O10 0.8061 0.9306 0.8158
O11 0.8095 0.4380 0.0712
O12 0.9306 0.8061 0.3158



## Er3CO2 (PBE)

Data for a geometry-optimized Er3CO2 structure.

Output
* space group: Immm, No. 71
* uncorrected formation energy: -2.22 eV per atom

a b c (Å): 3.4554 4.8466 10.2719
angles (deg): 90.00 90.00 90.00
Element x y z (fractional)
Er1 0.0000 0.0000 0.0000
Er2 0.0000 0.0000 0.3379
Er3 0.0000 0.0000 0.6621
Er4 0.5000 0.5000 0.1621
Er5 0.5000 0.5000 0.5000
Er6 0.5000 0.5000 0.8379
C1 0.0000 0.5000 0.0000
C2 0.5000 0.0000 0.5000
O1 0.0000 0.5000 0.3362
O2 0.0000 0.5000 0.6638
O3 0.5000 0.0000 0.1638
O4 0.5000 0.0000 0.8362



## ErCO4 (PBE)

Data for a geometry-optimized ErCO4 structure.

Output
* energy relative to the lowest polymorph listed for this composition: 36 meV/atom
* space group: P2_12_12_1, No. 19
* uncorrected formation energy: -2.02 eV per atom

a b c (Å): 4.7703 7.1669 8.9389
angles (deg): 90.00 90.00 90.00
Element x y z (fractional)
Er1 0.0326 0.1423 0.1697
Er2 0.4674 0.8577 0.6697
Er3 0.5326 0.3577 0.8303
Er4 0.9674 0.6423 0.3303
C1 0.0185 0.0372 0.8409
C2 0.4815 0.9628 0.3409
C3 0.5185 0.4628 0.1591
C4 0.9815 0.5372 0.6591
O1 0.0252 0.8358 0.1443
O2 0.0488 0.4284 0.7664
O3 0.1592 0.6227 0.5733
O4 0.2135 0.9377 0.3684
O5 0.2865 0.0623 0.8684
O6 0.3408 0.3773 0.0733
O7 0.4512 0.5716 0.2664
O8 0.4748 0.1642 0.6443
O9 0.5252 0.6642 0.8557
O10 0.5488 0.0716 0.2336
O11 0.6592 0.8773 0.4267
O12 0.7135 0.5623 0.6316
O13 0.7865 0.4377 0.1316
O14 0.8408 0.1227 0.9267
O15 0.9512 0.9284 0.7336
O16 0.9748 0.3358 0.3557



## Er8C3O (PBE)

Data for a geometry-optimized Er8C3O structure.

Output
* space group: C2/m, No. 12
* uncorrected formation energy: -0.74 eV per atom

a b c (Å): 7.0561 7.0561 7.1870
angles (deg): 119.54 119.54 59.98
Element x y z (fractional)
Er1 0.2389 0.7446 0.7273
Er2 0.2442 0.2442 0.7317
Er3 0.2554 0.7611 0.2727
Er4 0.2555 0.2555 0.2727
Er5 0.7445 0.7445 0.7273
Er6 0.7446 0.2389 0.7273
Er7 0.7558 0.7558 0.2683
Er8 0.7611 0.2554 0.2727
C1 0.0000 0.0000 0.5000
C2 0.0000 0.5000 0.5000
C3 0.5000 0.0000 0.5000
O1 0.5000 0.5000 0.5000



## Er2CO (PBE)

Data for a geometry-optimized Er2CO structure.

Output
* energy relative to the lowest polymorph listed for this composition: 465 meV/atom
* space group: R-3m, No. 166
* uncorrected formation energy: -1.32 eV per atom

a b c (Å): 3.7705 3.7705 19.8024
angles (deg): 90.00 90.00 120.00
Element x y z (fractional)
Er1 0.0000 0.0000 0.1024
Er2 0.0000 0.0000 0.8976
Er3 0.3333 0.6667 0.5643
Er4 0.3333 0.6667 0.7690
Er5 0.6667 0.3333 0.2310
Er6 0.6667 0.3333 0.4357
C1 0.0000 0.0000 0.5000
C2 0.3333 0.6667 0.1667
C3 0.6667 0.3333 0.8333
O1 0.0000 0.0000 0.0000
O2 0.3333 0.6667 0.6667
O3 0.6667 0.3333 0.3333



## ErCO4 (PBE)

Data for a geometry-optimized ErCO4 structure.

Output
* energy relative to the lowest polymorph listed for this composition: 0 meV/atom
* space group: P-6, No. 174
* uncorrected formation energy: -2.06 eV per atom

a b c (Å): 11.9556 11.9556 9.6320
angles (deg): 90.00 90.00 120.00
Element x y z (fractional)
Er1 0.2131 0.4350 0.2451
Er2 0.2131 0.4350 0.7549
Er3 0.2218 0.7869 0.2451
Er4 0.2218 0.7869 0.7549
Er5 0.2304 0.1174 0.2426
Er6 0.2304 0.1174 0.7574
Er7 0.5484 0.4461 0.2605
Er8 0.5484 0.4461 0.7395
Er9 0.5539 0.1023 0.2605
Er10 0.5539 0.1023 0.7395
Er11 0.5650 0.7782 0.2451
Er12 0.5650 0.7782 0.7549
Er13 0.8826 0.1130 0.2426
Er14 0.8826 0.1130 0.7574
Er15 0.8870 0.7696 0.2426
Er16 0.8870 0.7696 0.7574
Er17 0.8977 0.4516 0.2605
Er18 0.8977 0.4516 0.7395
C1 0.0197 0.1942 0.5000
C2 0.0925 0.2066 0.0000
C3 0.1141 0.9075 0.0000
C4 0.1287 0.5575 0.0000
C5 0.1364 0.4971 0.5000
C6 0.1745 0.9803 0.5000
C7 0.3607 0.8636 0.5000
C8 0.4287 0.8713 0.0000
C9 0.4425 0.5713 0.0000
C10 0.4621 0.2405 0.5000
C11 0.4671 0.3128 0.0000
C12 0.5029 0.6393 0.5000
C13 0.6872 0.1543 0.0000
C14 0.7595 0.2216 0.5000
C15 0.7784 0.5379 0.5000
C16 0.7934 0.8859 0.0000
C17 0.8058 0.8255 0.5000
C18 0.8457 0.5329 0.0000
O1 0.0000 0.0000 0.2495
O2 0.0000 0.0000 0.7505
O3 0.0065 0.6725 0.3050
O4 0.0065 0.6725 0.6950
O5 0.0715 0.2432 0.3817
O6 0.0715 0.2432 0.6183
O7 0.0844 0.8456 0.1168
O8 0.0844 0.8456 0.8832
O9 0.0858 0.4982 0.3824
O10 0.0858 0.4982 0.6176
O11 0.1026 0.5922 0.1172
O12 0.1026 0.5922 0.8828
O13 0.1544 0.2388 0.1168
O14 0.1544 0.2388 0.8832
O15 0.1717 0.9285 0.3817
O16 0.1717 0.9285 0.6183
O17 0.1743 0.0321 0.0000
O18 0.1821 0.4862 0.0000
O19 0.1844 0.0937 0.5000
O20 0.2406 0.4894 0.5000
O21 0.2488 0.7594 0.5000
O22 0.3041 0.8179 0.0000
O23 0.3275 0.3340 0.3050
O24 0.3275 0.3340 0.6950
O25 0.3333 0.6667 0.2553
O26 0.3333 0.6667 0.7447
O27 0.3400 0.0081 0.1937
O28 0.3400 0.0081 0.8063
O29 0.4078 0.5104 0.1172
O30 0.4078 0.5104 0.8828
O31 0.4124 0.9142 0.3824
O32 0.4124 0.9142 0.6176
O33 0.4170 0.2604 0.1175
O34 0.4170 0.2604 0.8825
O35 0.4333 0.1798 0.3826
O36 0.4333 0.1798 0.6174
O37 0.4896 0.8974 0.1172
O38 0.4896 0.8974 0.8828
O39 0.5018 0.5876 0.3824
O40 0.5018 0.5876 0.6176
O41 0.5106 0.7512 0.5000
O42 0.5138 0.6959 0.0000
O43 0.5212 0.3654 0.5000
O44 0.5717 0.4247 0.0000
O45 0.5753 0.1470 0.0000
O46 0.6346 0.1559 0.5000
O47 0.6660 0.9935 0.3050
O48 0.6660 0.9935 0.6950
O49 0.6667 0.3333 0.2454
O50 0.6667 0.3333 0.7546
O51 0.6681 0.6600 0.1937
O52 0.6681 0.6600 0.8063
O53 0.7396 0.1566 0.1175
O54 0.7396 0.1566 0.8825
O55 0.7464 0.5667 0.3826
O56 0.7464 0.5667 0.6174
O57 0.7568 0.8283 0.3817
O58 0.7568 0.8283 0.6183
O59 0.7612 0.9156 0.1168
O60 0.7612 0.9156 0.8832
O61 0.8202 0.2536 0.3826
O62 0.8202 0.2536 0.6174
O63 0.8434 0.5830 0.1175
O64 0.8434 0.5830 0.8825
O65 0.8441 0.4788 0.5000
O66 0.8530 0.4283 0.0000
O67 0.8578 0.8257 0.0000
O68 0.9063 0.0908 0.5000
O69 0.9092 0.8156 0.5000
O70 0.9679 0.1422 0.0000
O71 0.9919 0.3319 0.1937
O72 0.9919 0.3319 0.8063



Number 1: raw total energy -0.5597 Ry/atom. Number 2: raw total energy -0.6192 Ry/atom. Number 3: raw total energy -0.6506 Ry/atom. Number 4: raw total energy -0.6440 Ry/atom. Number 5: raw total energy -0.6938 Ry/atom. Number 6: raw total energy -0.6480 Ry/atom. Number 7: raw total energy -0.6494 Ry/atom. Number 8: raw total energy -0.5616 Ry/atom. Number 9: raw total energy -0.4730 Ry/atom. Number 10: raw total energy -0.5469 Ry/atom. Number 11: raw total energy -0.5319 Ry/atom. Number 12: raw total energy -0.5528 Ry/atom. Number 13: raw total energy -0.4949 Ry/atom. Number 14: raw total energy -0.5670 Ry/atom. Number 15: raw total energy -0.5651 Ry/atom. Number 16: raw total energy -0.5606 Ry/atom. Number 17: raw total energy -0.4776 Ry/atom. Number 18: raw total energy -0.5254 Ry/atom. Number 19: raw total energy -0.5633 Ry/atom.